This record from Alexandria describes an optimized crystal structure of Pm3Dy2Ho. The functional is PBE.

Unit cell a=7.2351 b=7.2425 c=8.9395 alpha=78.20 beta=78.17 gamma=60.10
Closest atoms and distances in Å follow each position.
Space group P-1 (No. 2)
Asymmetric unit:
Pm 0.1391 0.1389 0.1673  2 Ho 3.56-3.58, 4 Pm 3.57-3.63, 6 Dy 3.58-3.63
Pm 0.1396 0.6386 0.1653  6 Dy 3.56-3.64, 5 Pm 3.57-3.63, 1 Ho 3.60
Pm 0.2510 0.2494 0.5020  3 Dy 3.55-3.57, 5 Pm 3.57-3.64, 4 Ho 3.60-3.63
Dy 0.3633 0.3610 0.8313  2 Ho 3.54-3.55, 7 Pm 3.55-3.63, 3 Dy 3.58-3.62
Dy 0.3626 0.8606 0.8334  8 Pm 3.56-3.64, 1 Ho 3.57, 3 Dy 3.58-3.62
Ho 0.2513 0.7488 0.5015  3 Dy 3.54-3.57, 7 Pm 3.56-3.63, 2 Ho 3.61-3.64

VASP energy (eV per atom): -4.667
Energy above the lowest structure with this stoichiometry (meV/atom): 9.2
Formation enthalpy at 0 K (eV per atom): 0.01